# CaHfP2S8, optimized geometry, DFT PBE-GGA
data_CaHfP2S8
_chemical_formula_sum 'Ca1 Hf1 P2 S8'
_cell_length_a 5.9831
_cell_length_b 5.9831
_cell_length_c 8.6074
_cell_angle_alpha 90.00
_cell_angle_beta 90.00
_cell_angle_gamma 120.00
_symmetry_space_group_name_H-M 'P -3'
_symmetry_Int_Tables_number 147
_symmetry_space_group_name_Hall '-P 3'
loop_
_atom_site_label
_atom_site_type_symbol
_atom_site_fract_x
_atom_site_fract_y
_atom_site_fract_z
_atom_site_occupancy
Ca1 Ca 0.0000 0.0000 0.0000 1
Hf1 Hf 0.0000 0.0000 0.5000 1
P1 P 0.3333 0.6667 0.7522 1
S1 S 0.9999 0.3327 0.6831 1
S2 S 0.3333 0.6667 0.9836 1
# Crystal system: trigonal
# Formation energy from raw total energies (eV per atom): -0.729
# Magnetization (μB/f.u.): 0.00